Density functional theory data (PBE) for a relaxed Rb2SnHg7 crystal.

The total energy is -0.976 eV per atom.

It has space group P-4m2 (No. 115), with a = 5.3103 Å, b = 5.3103 Å, c = 11.8137 Å, α = 90.00°, β = 90.00° and γ = 90.00°. The asymmetric unit holds Rb at (0.0000, 0.5000, 0.2494), Sn at (0.0000, 0.0000, 0.5000), Hg at (0.0000, 0.0000, 0.0000), Hg at (0.0000, 0.5000, 0.6175), Hg at (0.0000, 0.5000, 0.8673), Hg at (0.5000, 0.5000, 0.0000) and Hg at (0.5000, 0.5000, 0.5000).


Density functional theory data (PBE) for a relaxed FeRu2 crystal.

The total energy is -8.372 eV per atom.

It has space group Fd-3m (No. 227, origin choice 2), with a = 7.1138 Å, b = 7.1138 Å, c = 7.1138 Å, α = 90.00°, β = 90.00° and γ = 90.00°. The asymmetric unit holds Fe at (0.1250, 0.1250, 0.1250) and Ru at (0.0000, 0.0000, 0.5000).


Density functional theory data (PBE) for a relaxed Tb3CeEr6 crystal.

The total energy is -4.375 eV per atom.

It has space group C2/m (No. 12), with a = 14.2488 Å, b = 6.4488 Å, c = 8.7977 Å, α = 90.00°, β = 124.68° and γ = 90.00°. The asymmetric unit holds Tb at (0.0000, 0.0000, 0.0000), Tb at (0.0061, 0.5000, 0.7345), Ce at (0.0000, 0.0000, 0.5000), Er at (0.2088, 0.0000, 0.9533) and Er at (0.2475, 0.2551, 0.6757).


Density functional theory data (PBE) for a relaxed Ta2Tl2AgSe6 crystal.

The total energy is -5.256 eV per atom. Its uncorrected formation energy is -0.511 eV/atom.

It has space group C2/m (No. 12), with a = 6.7966 Å, b = 11.3520 Å, c = 7.8875 Å, α = 90.00°, β = 102.82° and γ = 90.00°. The asymmetric unit holds Ta at (0.0000, 0.1440, 0.0000), Tl at (0.0000, 0.3325, 0.5000), Ag at (0.0000, 0.5000, 0.0000), Se at (0.1538, 0.0000, 0.2390) and Se at (0.2256, 0.3161, 0.1809).


Density functional theory data (PBE) for a relaxed ScPaTl2 crystal.

The total energy is -5.045 eV per atom.

It has space group Fm-3m (No. 225), with a = 7.4397 Å, b = 7.4397 Å, c = 7.4397 Å, α = 90.00°, β = 90.00° and γ = 90.00°. The asymmetric unit holds Sc at (0.0000, 0.0000, 0.0000), Pa at (0.0000, 0.0000, 0.5000) and Tl at (0.2500, 0.2500, 0.2500).


Density functional theory data (PBE) for a relaxed CsPbI3 crystal.

The total energy is -2.874 eV per atom. Its uncorrected formation energy is -1.032 eV/atom.

It has space group Pnma (No. 62), with a = 10.8319 Å, b = 4.8816 Å, c = 18.1668 Å, α = 90.00°, β = 90.00° and γ = 90.00°. The asymmetric unit holds Cs at (0.0748, 0.2500, 0.1730), Pb at (0.1624, 0.7500, 0.4399), I at (0.0268, 0.7500, 0.6095), I at (0.1640, 0.7500, 0.0020) and I at (0.2076, 0.2500, 0.7865).


Density functional theory data (PBE) for a relaxed Ta2CdIr crystal.

The total energy is -8.349 eV per atom.

It has space group Immm (No. 71), with a = 3.3121 Å, b = 4.5366 Å, c = 9.3396 Å, α = 90.00°, β = 90.00° and γ = 90.00°. The asymmetric unit holds Ta at (0.0000, 0.0000, 0.2353), Cd at (0.0000, 0.5000, 0.0000) and Ir at (0.0000, 0.5000, 0.5000).


Density functional theory data (PBE) for a relaxed BeCuSbI2 crystal.

The total energy is -2.145 eV per atom. Its uncorrected formation energy is 0.864 eV/atom.

It has space group P4/mmm (No. 123), with a = 5.4572 Å, b = 5.4572 Å, c = 5.0579 Å, α = 90.00°, β = 90.00° and γ = 90.00°. The asymmetric unit holds Be at (0.0000, 0.0000, 0.0000), Cu at (0.5000, 0.5000, 0.5000), Sb at (0.5000, 0.5000, 0.0000) and I at (0.0000, 0.5000, 0.5000).


Density functional theory data (PBE) for a relaxed TaAgHgPd2 crystal.

The total energy is -3.600 eV per atom.

It has space group P4/mmm (No. 123), with a = 4.9584 Å, b = 4.9584 Å, c = 4.9485 Å, α = 90.00°, β = 90.00° and γ = 90.00°. The asymmetric unit holds Ta at (0.0000, 0.0000, 0.0000), Ag at (0.5000, 0.5000, 0.0000), Hg at (0.5000, 0.5000, 0.5000) and Pd at (0.0000, 0.5000, 0.5000).


Density functional theory data (PBE) for a relaxed La2ErZn2In2 crystal.

The total energy is -3.517 eV per atom.

It has space group R-3m (No. 166, hexagonal axes), with a = 4.7288 Å, b = 4.7288 Å, c = 28.1618 Å, α = 90.00°, β = 90.00° and γ = 120.00°. The asymmetric unit holds La at (0.0000, 0.0000, 0.1290), Er at (0.0000, 0.0000, 0.0000), Zn at (0.0000, 0.0000, 0.3896) and In at (0.0000, 0.0000, 0.2697).


Density functional theory data (PBE) for a relaxed Ti3PdC crystal.

The total energy is -5.955 eV per atom.

It has space group Pm-3m (No. 221), with a = 4.6914 Å, b = 4.6914 Å, c = 4.6914 Å, α = 90.00°, β = 90.00° and γ = 90.00°. The asymmetric unit holds Ti at (0.0000, 0.0000, 0.5000), Pd at (0.0000, 0.0000, 0.0000) and C at (0.5000, 0.5000, 0.5000).


Density functional theory data (PBE) for a relaxed AlP2Se crystal.

The total energy is -4.186 eV per atom. Its uncorrected formation energy is 0.326 eV/atom.

It has space group Cmmm (No. 65), with a = 3.5457 Å, b = 4.0646 Å, c = 10.6456 Å, α = 90.00°, β = 90.00° and γ = 90.00°. The asymmetric unit holds Al at (0.0000, 0.0000, 0.0000), P at (0.0000, 0.5000, 0.1744) and Se at (0.0000, 0.0000, 0.5000).


Density functional theory data (PBE) for a relaxed ScFeS2Br crystal.

The total energy is -4.266 eV per atom. Its uncorrected formation energy is 0.678 eV/atom.

It has space group P4/mmm (No. 123), with a = 5.1616 Å, b = 5.1616 Å, c = 4.3137 Å, α = 90.00°, β = 90.00° and γ = 90.00°. The asymmetric unit holds Sc at (0.0000, 0.0000, 0.0000), Fe at (0.5000, 0.5000, 0.0000), S at (0.0000, 0.5000, 0.5000) and Br at (0.5000, 0.5000, 0.5000).


Density functional theory data (PBE) for a relaxed Hf2SiPd8 crystal.

The total energy is -6.815 eV per atom. Its uncorrected formation energy is -0.736 eV/atom.

It has space group Immm (No. 71), with a = 4.5921 Å, b = 5.7119 Å, c = 13.6013 Å, α = 90.00°, β = 90.00° and γ = 90.00°. The asymmetric unit holds Hf at (0.0000, 0.0000, 0.1884), Si at (0.0000, 0.0000, 0.5000), Pd at (0.0000, 0.2519, 0.0000), Pd at (0.0000, 0.2579, 0.3677) and Pd at (0.0000, 0.5000, 0.1872).


Density functional theory data (PBE) for a relaxed Na2SrAuBr crystal.

The total energy is -1.856 eV per atom. Its uncorrected formation energy is -0.002 eV/atom.

It has space group P4/mmm (No. 123), with a = 6.9957 Å, b = 6.9957 Å, c = 5.6474 Å, α = 90.00°, β = 90.00° and γ = 90.00°. The asymmetric unit holds Na at (0.0000, 0.5000, 0.0000), Sr at (0.0000, 0.0000, 0.0000), Au at (0.5000, 0.5000, 0.5000) and Br at (0.0000, 0.0000, 0.5000).


Density functional theory data (PBE) for a relaxed La3Fe5S12 crystal.

The total energy is -6.285 eV per atom. Its uncorrected formation energy is -0.954 eV/atom.

It has space group Ia-3d (No. 230), with a = 14.9298 Å, b = 14.9298 Å, c = 14.9298 Å, α = 90.00°, β = 90.00° and γ = 90.00°. The asymmetric unit holds La at (0.0000, 0.2500, 0.1250), Fe at (0.0000, 0.0000, 0.0000), Fe at (0.0000, 0.2500, 0.3750) and S at (0.0319, 0.0510, 0.6438).


Density functional theory data (PBE) for a relaxed AcCdP2Rh5 crystal.

The total energy is -6.416 eV per atom.

It has space group P4/mmm (No. 123), with a = 4.1282 Å, b = 4.1282 Å, c = 10.1529 Å, α = 90.00°, β = 90.00° and γ = 90.00°. The asymmetric unit holds Ac at (0.0000, 0.0000, 0.0000), Cd at (0.0000, 0.0000, 0.5000), P at (0.5000, 0.5000, 0.2257), Rh at (0.0000, 0.5000, 0.3188) and Rh at (0.5000, 0.5000, 0.0000).


Density functional theory data (PBE) for a relaxed Tb2CuF8 crystal.

The total energy is -5.913 eV per atom. Its uncorrected formation energy is -3.338 eV/atom.

It has space group P-1 (No. 2), with a = 3.4782 Å, b = 5.7837 Å, c = 8.2821 Å, α = 92.33°, β = 102.03° and γ = 96.10°. The asymmetric unit holds Tb at (0.1299, 0.3541, 0.3033), Cu at (0.5000, 0.0000, 0.0000), F at (0.0492, 0.7704, 0.9702), F at (0.2766, 0.6731, 0.4967), F at (0.3768, 0.4498, 0.7772) and F at (0.4491, 0.9250, 0.7613).


Density functional theory data (PBE) for a relaxed Y2SiTe crystal.

The total energy is -6.250 eV per atom. Its uncorrected formation energy is -0.877 eV/atom.

It has space group Amm2 (No. 38), with a = 4.6324 Å, b = 3.9473 Å, c = 11.2990 Å, α = 90.00°, β = 90.00° and γ = 90.00°. The asymmetric unit holds Y at (0.0000, 0.0000, 0.0000), Y at (0.5000, 0.0000, 0.2602), Si at (0.0000, 0.0000, 0.7483) and Te at (0.5000, 0.0000, 0.5302).


Density functional theory data (PBE) for a relaxed Y3Er2Pb4 crystal.

The total energy is -5.257 eV per atom.

It has space group C2/m (No. 12), with a = 16.3009 Å, b = 4.9642 Å, c = 6.8121 Å, α = 90.00°, β = 105.52° and γ = 90.00°. The asymmetric unit holds Y at (0.0000, 0.0000, 0.0000), Y at (0.1148, 0.0000, 0.5878), Er at (0.1699, 0.5000, 0.0662), Pb at (0.0097, 0.5000, 0.2827) and Pb at (0.2455, 0.0000, 0.3045).


Density functional theory data (PBE) for a relaxed Lu2ZrGa crystal.

The total energy is -5.022 eV per atom.

It has space group R-3m (No. 166, hexagonal axes), with a = 3.3391 Å, b = 3.3391 Å, c = 33.2220 Å, α = 90.00°, β = 90.00° and γ = 120.00°. The asymmetric unit holds Lu at (0.0000, 0.0000, 0.0887), Zr at (0.0000, 0.0000, 0.5000) and Ga at (0.0000, 0.0000, 0.0000).


Density functional theory data (PBE) for a relaxed SbRhAu2 crystal.

The total energy is -4.505 eV per atom. Its uncorrected formation energy is 0.002 eV/atom.

It has space group C2/m (No. 12), with a = 5.4879 Å, b = 10.2254 Å, c = 3.5787 Å, α = 90.00°, β = 130.37° and γ = 90.00°. The asymmetric unit holds Sb at (0.0000, 0.0000, 0.0000), Rh at (0.0000, 0.5000, 0.0000) and Au at (0.2500, 0.2500, 0.5000).


Spin magnetization for the records above, in order: 0.0; 3.8; 2.1; 0.7; 1.7; 0.0; 0.0; 0.0; 2.8; 0.0; 0.0; 0.0; 2.0; 0.0; 0.0; 15.7; 0.0; 1.0; 0.0; 0.0; 0.0; 0.0 μB per formula unit